Density functional theory data (PBE) for an optimized crystal structure of YRe2Te.

Geometry as POSCAR:
```
YRe2Te
1.0
4.9285 -0.0003 -0.0011
-2.4516 5.4924 -0.0096
0.0254 0.8228 2.8814
Y Re Te
1 2 1
direct
0.5000 0.5000 0.0000
0.5000 0.0000 0.5000
0.0000 0.0000 0.0000
0.0000 0.5000 0.5000
```

ρ = 12.5 g cm⁻³
DOS(E_F) = 0.98 states/eV/atom
Calculated volume = 19.51 Å³ per atom
Symmetry = C2/m
Electronic total energy = -32.1 eV per cell